[1]
First-principles (PBE) data for a relaxed structure of RbGePb, as listed in Alexandria.

Calculated values
The raw total energy comes out at -9.37 eV/cell. The polymorph energy (0 for the lowest one) comes out at 80 meV/atom. The density of states at the Fermi level is 1.25 states/eV/cell. The calculation puts the formation energy at -7 kJ/mol of formula units. The spin magnetization is 0.00 μB/f.u.

The structure in CIF format:
```
data_RbGePb
_cell_length_a 4.6045
_cell_length_b 4.6045
_cell_length_c 6.1062
_cell_angle_alpha 90.00
_cell_angle_beta 90.00
_cell_angle_gamma 120.00
_space_group_name_H-M_alt 'P 3 m 1'
_space_group_IT_number 156
loop_
_space_group_symop_operation_xyz
'x,y,z'
'-y,x-y,z'
'-x+y,-x,z'
'-y,-x,z'
'-x+y,y,z'
'x,x-y,z'
loop_
_atom_site_label
_atom_site_type_symbol
_atom_site_fract_x
_atom_site_fract_y
_atom_site_fract_z
_atom_site_occupancy
Rb1 Rb 0.0000 0.0000 0.0000 1
Ge1 Ge 0.3333 0.6667 0.6054 1
Pb1 Pb 0.6667 0.3333 0.4479 1
```

[2]
First-principles (PBE) data for a relaxed structure of RbGePb2, as listed in Alexandria.

Calculated values
The raw total energy comes out at -12.97 eV/cell. The density of states at the Fermi level is 1.33 states/eV/cell. The calculation puts the formation energy at 3 kJ/mol of formula units. The spin magnetization is 0.00 μB/f.u.

The structure in CIF format:
```
data_RbGePb2
_cell_length_a 3.943
_cell_length_b 3.943
_cell_length_c 8.440
_cell_angle_alpha 90.00
_cell_angle_beta 90.00
_cell_angle_gamma 90.00
_space_group_name_H-M_alt 'P 4/m m m'
_space_group_IT_number 123
_space_group_name_Hall '-P 4 2'
loop_
_atom_site_label
_atom_site_type_symbol
_atom_site_fract_x
_atom_site_fract_y
_atom_site_fract_z
_atom_site_occupancy
Rb1 Rb 0.000 0.000 0.000 1
Ge1 Ge 0.000 0.000 0.500 1
Pb1 Pb 0.500 0.500 0.319 1
```

[3]
First-principles (PBE) data for a relaxed structure of RbGePb, as listed in Alexandria.

Calculated values
The raw total energy comes out at -38.07 eV/cell. The polymorph energy (0 for the lowest one) comes out at 30 meV/atom. The density of states at the Fermi level is 1.74 states/eV/cell. The calculation puts the formation energy at -22 kJ/mol of formula units. The spin magnetization is 0.00 μB/f.u.

The structure in CIF format:
```
data_RbGePb
_cell_length_a 15.446
_cell_length_b 4.322
_cell_length_c 7.615
_cell_angle_alpha 90.00
_cell_angle_beta 118.75
_cell_angle_gamma 90.00
_space_group_name_H-M_alt 'C 1 m 1'
_space_group_IT_number 8
loop_
_space_group_symop_operation_xyz
'x,y,z'
'x,-y,z'
'x+1/2,y+1/2,z'
'x+1/2,-y+1/2,z'
loop_
_atom_site_label
_atom_site_type_symbol
_atom_site_fract_x
_atom_site_fract_y
_atom_site_fract_z
_atom_site_occupancy
Rb1 Rb 0.000 0.000 0.000 1
Rb2 Rb 0.153 0.500 0.627 1
Ge1 Ge 0.364 0.000 0.162 1
Ge2 Ge 0.446 0.500 0.426 1
Pb1 Pb 0.228 0.500 0.175 1
Pb2 Pb 0.342 0.000 0.537 1
```

What is the raw total energy in the first record? -9.37 eV/cell